Computed, not measured: a relaxed CsEuMo2O8 crystal at the PBE+U level of DFT.

POSCAR file:
```
CsEuMo2O8
1.0
5.1713 0.0000 0.0000
0.0000 8.3638 0.0000
0.0000 0.0000 9.7655
Cs O Mo Eu
2 16 4 2
direct
0.0000 0.2500 0.5000 Cs
0.0000 0.7500 0.5000 Cs
0.7335 0.8288 0.1889 O
0.6220 0.5000 0.3603 O
0.7452 0.0000 0.9317 O
0.7335 0.3288 0.8111 O
0.2548 0.5000 0.9317 O
0.3780 0.0000 0.3603 O
0.2665 0.1712 0.8111 O
0.6220 0.0000 0.6397 O
0.2665 0.6712 0.1889 O
0.2665 0.3288 0.1889 O
0.2548 0.0000 0.0683 O
0.2665 0.8288 0.8111 O
0.7335 0.6712 0.8111 O
0.7335 0.1712 0.1889 O
0.7452 0.5000 0.0683 O
0.3780 0.5000 0.6397 O
0.5193 0.0000 0.1971 Mo
0.5193 0.5000 0.8029 Mo
0.4807 0.0000 0.8029 Mo
0.4807 0.5000 0.1971 Mo
0.0000 0.7500 0.0000 Eu
0.0000 0.2500 0.0000 Eu
```

Output
SG = Pccm (49)
E_tot = -7.400 eV/atom
Volume = 211.2 Å³/f.u.